LaTmTh3, relaxed, DFT PBE; ΔE_f = 353 meV/atom; energy = -5.98 eV/atom; SG = Imma, No. 74
1.0
-3.713 1.985 -4.272
-5.149 -10.698 -0.497
1.149 5.773 5.895
Th Tm La
6 2 2
Cartesian
-5.334 -7.293 -0.859
0.574 2.886 2.947
-4.953 -0.997 1.736
-2.000 -2.463 2.699
-2.379 4.352 1.985
-2.759 -1.943 -0.610
-1.840 0.815 1.526
-5.872 -3.755 -0.400
-1.856 0.993 -2.136
-2.574 -5.349 -0.249